Record 1
A relaxed BaLiOs2 crystal, computed with PBE-GGA.

Unit cell a=5.163 b=10.272 c=2.959 alpha=90.00 beta=90.00 gamma=90.00
Space group Cmmm (No. 65)
Symmetry-distinct sites (fractional):
Ba1 0.000 0.000 0.000 [2 per cell]
Li1 0.000 0.500 0.000 [2 per cell]
Os1 0.250 0.250 0.500 [4 per cell]

Values from the calculation:
ΔH_f (0 K) (eV/f.u.): 4.3
Energy (eV per atom): -5.50
Polymorph energy (0 for the lowest one) (meV/atom): 838.3
Total magnetic moment (μB/atom): 0.0001
V (Å³ per atom): 19.62
Fermi-level density of states (states/eV/f.u.): 3.8


Record 2
A relaxed Pm4Y2Sc crystal, computed with PBE-GGA.

Unit cell a=6.123 b=12.872 c=5.944 alpha=90.00 beta=90.00 gamma=90.00
Space group Cmmm (No. 65)
Symmetry-distinct sites (fractional):
Pm1 0.000 0.136 0.000 [4 per cell]
Pm2 0.000 0.311 0.500 [4 per cell]
Y1 0.000 0.388 0.000 [4 per cell]
Sc1 0.000 0.000 0.500 [2 per cell]

Values from the calculation:
ΔH_f (0 K) (eV/f.u.): 3.8
Energy (eV per atom): -4.93
Polymorph energy (0 for the lowest one) (meV/atom): 363.5
Total magnetic moment (μB/atom): 0.0001
V (Å³ per atom): 33.47
Fermi-level density of states (states/eV/f.u.): 12.1


Record 3
A relaxed ZrBe3In crystal, computed with PBE-GGA.

Unit cell a=4.698 b=4.698 c=4.698 alpha=90.00 beta=90.00 gamma=90.00
Space group Pm-3m (No. 221)
Symmetry-distinct sites (fractional):
Zr1 0.000 0.000 0.000 [1 per cell]
Be1 0.000 0.000 0.500 [3 per cell]
In1 0.500 0.500 0.500 [1 per cell]

Values from the calculation:
ΔH_f (0 K) (eV/f.u.): 7.6
Energy (eV per atom): -2.98
Polymorph energy (0 for the lowest one) (meV/atom): 545.4
Total magnetic moment (μB/atom): 0.0000
V (Å³ per atom): 20.74
Fermi-level density of states (states/eV/f.u.): 2.9


Record 4
A relaxed BePbSeN2 crystal, computed with PBE-GGA.

Unit cell a=4.007 b=4.007 c=4.879 alpha=90.00 beta=90.00 gamma=90.00
Space group P4/mmm (No. 123)
Symmetry-distinct sites (fractional):
Be1 0.000 0.000 0.000 [1 per cell]
Pb1 0.500 0.500 0.500 [1 per cell]
Se1 0.000 0.000 0.500 [1 per cell]
N1 0.000 0.500 0.000 [2 per cell]

Values from the calculation:
Energy (eV per atom): -4.40
Formation energy without anion corrections (eV/atom): 1.12
Polymorph energy (0 for the lowest one) (meV/atom): 0.0
Total magnetic moment (μB/atom): 0.7267
V (Å³ per atom): 15.67
Fermi-level density of states (states/eV/f.u.): 2.0


Record 5
A relaxed Mn3AgH crystal, computed with PBE-GGA.

Unit cell a=3.714 b=3.714 c=3.714 alpha=90.00 beta=90.00 gamma=90.00
Space group Pm-3m (No. 221)
Symmetry-distinct sites (fractional):
Mn1 0.000 0.000 0.500 [3 per cell]
Ag1 0.500 0.500 0.500 [1 per cell]
H1 0.000 0.000 0.000 [1 per cell]

Values from the calculation:
Energy (eV per atom): -6.27
Polymorph energy (0 for the lowest one) (meV/atom): 0.0
Total magnetic moment (μB/atom): 0.0004
V (Å³ per atom): 10.24
Fermi-level density of states (states/eV/f.u.): 8.0


Record 6
A relaxed LiTb2As crystal, computed with PBE-GGA.

Unit cell a=3.8453 b=3.8453 c=30.3626 alpha=90.00 beta=90.00 gamma=120.00
Space group R-3m (No. 166, hexagonal axes)
Symmetry-distinct sites (fractional):
Li1 0.0000 0.0000 0.0000 [3 per cell]
Tb1 0.0000 0.0000 0.1102 [6 per cell]
As1 0.0000 0.0000 0.5000 [3 per cell]

Values from the calculation:
ΔH_f (0 K) (eV/f.u.): -1.7
Energy (eV per atom): -4.38
Polymorph energy (0 for the lowest one) (meV/atom): 162.0
Total magnetic moment (μB/atom): 0.0000
V (Å³ per atom): 32.40
Fermi-level density of states (states/eV/f.u.): 3.4


Record 7
A relaxed LaDy5Y8 crystal, computed with PBE-GGA.

Unit cell a=9.515 b=9.515 c=10.311 alpha=90.00 beta=90.00 gamma=90.00
Space group I-4 (No. 82)
Symmetry-distinct sites (fractional):
La1 0.000 0.000 0.000 [2 per cell]
Dy1 0.000 0.500 0.250 [2 per cell]
Dy2 0.112 0.711 0.678 [8 per cell]
Y1 0.073 0.820 0.354 [8 per cell]
Y2 0.084 0.673 0.003 [8 per cell]

Values from the calculation:
ΔH_f (0 K) (eV/f.u.): 3.3
Energy (eV per atom): -5.45
Total magnetic moment (μB/atom): 0.0001
V (Å³ per atom): 33.34
Fermi-level density of states (states/eV/f.u.): 22.4


Record 8
A relaxed Ca3LaBr crystal, computed with PBE-GGA.

Unit cell a=5.813 b=5.813 c=5.813 alpha=90.00 beta=90.00 gamma=90.00
Space group Pm-3m (No. 221)
Symmetry-distinct sites (fractional):
Ca1 0.000 0.000 0.500 [3 per cell]
La1 0.500 0.500 0.500 [1 per cell]
Br1 0.000 0.000 0.000 [1 per cell]

Values from the calculation:
Energy (eV per atom): -2.78
Formation energy without anion corrections (eV/atom): -0.26
Polymorph energy (0 for the lowest one) (meV/atom): 0.0
Total magnetic moment (μB/atom): 0.4869
V (Å³ per atom): 39.28
Fermi-level density of states (states/eV/f.u.): 9.0


Record 9
A relaxed Yb2Si3Pt3 crystal, computed with PBE-GGA.

Unit cell a=2.821 b=2.821 c=20.490 alpha=90.00 beta=90.00 gamma=90.00
Space group P4/mmm (No. 123)
Symmetry-distinct sites (fractional):
Yb1 0.000 0.000 0.247 [2 per cell]
Si1 0.000 0.000 0.000 [1 per cell]
Si2 0.000 0.000 0.386 [2 per cell]
Pt1 0.000 0.000 0.112 [2 per cell]
Pt2 0.000 0.000 0.500 [1 per cell]

Values from the calculation:
Energy (eV per atom): -4.35
Formation energy without anion corrections (eV/atom): 0.33
Total magnetic moment (μB/atom): 0.0000
V (Å³ per atom): 20.39
Fermi-level density of states (states/eV/f.u.): 7.1


Record 10
A relaxed CaCuBPd2 crystal, computed with PBE-GGA.

Unit cell a=4.322 b=4.322 c=4.164 alpha=90.00 beta=90.00 gamma=90.00
Space group P4/mmm (No. 123)
Symmetry-distinct sites (fractional):
Ca1 0.000 0.000 0.000 [1 per cell]
Cu1 0.500 0.500 0.000 [1 per cell]
B1 0.500 0.500 0.500 [1 per cell]
Pd1 0.000 0.500 0.500 [2 per cell]

Values from the calculation:
ΔH_f (0 K) (eV/f.u.): -1.8
Energy (eV per atom): -4.99
Total magnetic moment (μB/atom): 0.0000
V (Å³ per atom): 15.55
Fermi-level density of states (states/eV/f.u.): 3.1


Record 11
A relaxed K3Sn2Hg7 crystal, computed with PBE-GGA.

Unit cell a=5.262 b=5.169 c=14.689 alpha=90.00 beta=99.23 gamma=90.00
Space group P2/m (No. 10)
Symmetry-distinct sites (fractional):
K1 0.000 0.000 0.000 [1 per cell]
K2 0.313 0.500 0.645 [2 per cell]
Sn1 0.115 0.000 0.252 [2 per cell]
Hg1 0.147 0.500 0.160 [2 per cell]
Hg2 0.229 0.000 0.454 [2 per cell]
Hg3 0.420 0.000 0.841 [2 per cell]
Hg4 0.500 0.500 0.000 [1 per cell]

Values from the calculation:
ΔH_f (0 K) (eV/f.u.): -2.1
Energy (eV per atom): -1.29
Total magnetic moment (μB/atom): 0.0000
V (Å³ per atom): 32.86
Fermi-level density of states (states/eV/f.u.): 3.9


Record 12
A relaxed Nd2Tm3Th3 crystal, computed with PBE-GGA.

Unit cell a=9.0635 b=9.0635 c=3.6468 alpha=90.00 beta=90.00 gamma=120.00
Space group P-62m (No. 189)
Symmetry-distinct sites (fractional):
Nd1 0.3333 0.6667 0.0000 [2 per cell]
Tm1 0.0000 0.6057 0.5000 [3 per cell]
Th1 0.0000 0.2267 0.0000 [3 per cell]

Values from the calculation:
ΔH_f (0 K) (eV/f.u.): 1.2
Energy (eV per atom): -5.50
Total magnetic moment (μB/atom): 0.0000
V (Å³ per atom): 32.43
Fermi-level density of states (states/eV/f.u.): 10.8